Entry 1:
## NdY6HoEr2 (PBE)

Data for crystalline NdY6HoEr2 at its relaxed geometry.

POSCAR file:
```
NdY6HoEr2
1.0
4.568 -7.472 0.000
4.568 7.472 0.000
-1.455 0.000 9.554
Nd Y Ho Er
2 12 2 4
direct
0.094 0.906 0.750 Nd
0.906 0.094 0.250 Nd
0.005 0.795 0.381 Y
0.073 0.522 0.182 Y
0.205 0.995 0.119 Y
0.253 0.618 0.556 Y
0.382 0.747 0.944 Y
0.478 0.927 0.318 Y
0.522 0.073 0.682 Y
0.618 0.253 0.056 Y
0.747 0.382 0.444 Y
0.795 0.005 0.881 Y
0.927 0.478 0.818 Y
0.995 0.205 0.619 Y
0.475 0.525 0.250 Ho
0.525 0.475 0.750 Ho
0.207 0.308 0.954 Er
0.308 0.207 0.454 Er
0.692 0.793 0.546 Er
0.793 0.692 0.046 Er
```

Calculated total energy = -5.60 eV per atom
DOS(E_F) = 31.3 states/eV/cell


Entry 2:
## NdY2HoEr6 (PBE)

Data for crystalline NdY2HoEr6 at its relaxed geometry.

POSCAR file:
```
NdY2HoEr6
1.0
4.559 -7.480 0.000
4.559 7.480 0.000
-0.958 0.000 9.356
Nd Y Ho Er
2 4 2 12
direct
0.030 0.970 0.750 Nd
0.970 0.030 0.250 Nd
0.200 0.304 0.549 Y
0.304 0.200 0.049 Y
0.696 0.800 0.951 Y
0.800 0.696 0.451 Y
0.410 0.590 0.250 Ho
0.590 0.410 0.750 Ho
0.016 0.564 0.683 Er
0.123 0.754 0.059 Er
0.246 0.877 0.441 Er
0.291 0.515 0.884 Er
0.436 0.984 0.817 Er
0.485 0.709 0.616 Er
0.515 0.291 0.384 Er
0.564 0.016 0.183 Er
0.709 0.485 0.116 Er
0.754 0.123 0.559 Er
0.877 0.246 0.941 Er
0.984 0.436 0.317 Er
```

Calculated total energy = -4.84 eV per atom
DOS(E_F) = 30.2 states/eV/cell


Entry 3:
## NdYHoEr2 (PBE)

Data for crystalline NdYHoEr2 at its relaxed geometry.

POSCAR file:
```
NdYHoEr2
1.0
4.188 -5.728 0.000
4.188 5.728 0.000
0.000 0.000 7.206
Nd Y Ho Er
2 2 2 4
direct
0.227 0.773 0.750 Nd
0.773 0.227 0.250 Nd
0.499 0.501 0.250 Y
0.501 0.499 0.750 Y
0.220 0.780 0.250 Ho
0.780 0.220 0.750 Ho
0.189 0.189 0.000 Er
0.189 0.189 0.500 Er
0.811 0.811 0.000 Er
0.811 0.811 0.500 Er
```

Calculated total energy = -4.60 eV per atom
DOS(E_F) = 13.7 states/eV/cell


Entry 4:
## NdY2Ho2Er (PBE)

Data for crystalline NdY2Ho2Er at its relaxed geometry.

POSCAR file:
```
NdY2Ho2Er
1.0
6.071 0.000 0.000
0.000 18.191 0.000
0.000 0.000 3.530
Nd Y Ho Er
2 4 4 2
direct
0.000 0.000 0.000 Nd
0.500 0.500 0.500 Nd
0.167 0.340 0.500 Y
0.333 0.840 0.000 Y
0.667 0.160 0.000 Y
0.833 0.660 0.500 Y
0.167 0.155 0.500 Ho
0.333 0.655 0.000 Ho
0.667 0.345 0.000 Ho
0.833 0.845 0.500 Ho
0.000 0.500 0.000 Er
0.500 0.000 0.500 Er
```

Calculated total energy = -5.13 eV per atom
DOS(E_F) = 18.1 states/eV/cell


Entry 5:
## Nd2YHo6Er3 (PBE)

Data for crystalline Nd2YHo6Er3 at its relaxed geometry.

POSCAR file:
```
Nd2YHo6Er3
1.0
3.076 -5.322 0.000
3.076 5.322 0.000
-2.041 0.000 11.583
Nd Y Ho Er
2 1 6 3
direct
0.167 0.833 0.000 Nd
0.833 0.167 0.000 Nd
0.500 0.500 0.000 Y
0.082 0.415 0.746 Ho
0.252 0.252 0.254 Ho
0.415 0.082 0.746 Ho
0.585 0.918 0.254 Ho
0.748 0.748 0.746 Ho
0.918 0.585 0.254 Ho
0.000 0.000 0.500 Er
0.334 0.666 0.500 Er
0.666 0.334 0.500 Er
```

Calculated total energy = -4.74 eV per atom
DOS(E_F) = 16.0 states/eV/cell


Entry 6:
## Nd6Y2HoEr3 (PBE)

Data for crystalline Nd6Y2HoEr3 at its relaxed geometry.

POSCAR file:
```
Nd6Y2HoEr3
1.0
3.134 -5.427 0.000
3.134 5.427 0.000
-2.083 0.000 11.640
Nd Y Ho Er
6 2 1 3
direct
0.084 0.416 0.752 Nd
0.249 0.249 0.248 Nd
0.416 0.084 0.752 Nd
0.584 0.916 0.248 Nd
0.751 0.751 0.752 Nd
0.916 0.584 0.248 Nd
0.333 0.667 0.500 Y
0.667 0.333 0.500 Y
0.000 0.000 0.500 Ho
0.167 0.833 0.000 Er
0.500 0.500 0.000 Er
0.833 0.167 0.000 Er
```

Calculated total energy = -4.97 eV per atom
DOS(E_F) = 13.2 states/eV/cell


Entry 7:
## Nd2Y2HoEr2 (PBE)

Data for crystalline Nd2Y2HoEr2 at its relaxed geometry.

POSCAR file:
```
Nd2Y2HoEr2
1.0
8.454 -1.746 0.000
8.454 1.746 0.000
-3.932 0.000 7.826
Nd Y Ho Er
2 2 1 2
direct
0.136 0.136 0.408 Nd
0.864 0.864 0.592 Nd
0.421 0.421 0.295 Y
0.579 0.579 0.705 Y
0.500 0.500 0.000 Ho
0.278 0.278 0.856 Er
0.722 0.722 0.144 Er
```

Calculated total energy = -5.04 eV per atom
DOS(E_F) = 11.4 states/eV/cell


Entry 8:
## Nd6YHo3Er2 (PBE)

Data for crystalline Nd6YHo3Er2 at its relaxed geometry.

POSCAR file:
```
Nd6YHo3Er2
1.0
3.132 -5.423 0.000
3.132 5.423 0.000
-2.081 0.000 11.635
Nd Y Ho Er
6 1 3 2
direct
0.082 0.416 0.250 Nd
0.250 0.250 0.750 Nd
0.416 0.082 0.250 Nd
0.584 0.918 0.750 Nd
0.750 0.750 0.250 Nd
0.918 0.584 0.750 Nd
0.500 0.500 0.500 Y
0.000 0.000 0.000 Ho
0.333 0.667 0.000 Ho
0.667 0.333 0.000 Ho
0.167 0.833 0.500 Er
0.833 0.167 0.500 Er
```

Calculated total energy = -4.82 eV per atom
DOS(E_F) = 13.0 states/eV/cell


Entry 9:
## Nd3Y2Ho6Er (PBE)

Data for crystalline Nd3Y2Ho6Er at its relaxed geometry.

POSCAR file:
```
Nd3Y2Ho6Er
1.0
3.096 -5.359 0.000
3.096 5.359 0.000
-2.057 0.000 11.627
Nd Y Ho Er
3 2 6 1
direct
0.000 0.000 0.000 Nd
0.333 0.667 0.000 Nd
0.667 0.333 0.000 Nd
0.167 0.833 0.500 Y
0.833 0.167 0.500 Y
0.085 0.418 0.253 Ho
0.250 0.250 0.747 Ho
0.418 0.085 0.253 Ho
0.582 0.915 0.747 Ho
0.750 0.750 0.253 Ho
0.915 0.582 0.747 Ho
0.500 0.500 0.500 Er
```

Calculated total energy = -4.92 eV per atom
DOS(E_F) = 16.4 states/eV/cell


Entry 10:
## NdYHoEr3 (PBE)

Data for crystalline NdYHoEr3 at its relaxed geometry.

POSCAR file:
```
NdYHoEr3
1.0
2.857 -5.889 0.000
2.857 5.889 0.000
0.000 0.000 11.384
Nd Y Ho Er
2 2 2 6
direct
0.024 0.976 0.750 Nd
0.976 0.024 0.250 Nd
0.327 0.673 0.750 Y
0.673 0.327 0.250 Y
0.500 0.500 0.000 Ho
0.500 0.500 0.500 Ho
0.174 0.826 0.024 Er
0.174 0.826 0.476 Er
0.353 0.647 0.250 Er
0.647 0.353 0.750 Er
0.826 0.174 0.524 Er
0.826 0.174 0.976 Er
```

Calculated total energy = -4.79 eV per atom
DOS(E_F) = 23.7 states/eV/cell


Entry 11:
## Nd6YHo2Er (PBE)

Data for crystalline Nd6YHo2Er at its relaxed geometry.

POSCAR file:
```
Nd6YHo2Er
1.0
4.621 -7.695 0.000
4.621 7.695 0.000
-1.215 0.000 9.566
Nd Y Ho Er
12 2 4 2
direct
0.010 0.564 0.188 Nd
0.120 0.762 0.553 Nd
0.238 0.880 0.947 Nd
0.291 0.507 0.382 Nd
0.436 0.990 0.312 Nd
0.493 0.709 0.118 Nd
0.507 0.291 0.882 Nd
0.564 0.010 0.688 Nd
0.709 0.493 0.618 Nd
0.762 0.120 0.053 Nd
0.880 0.238 0.447 Nd
0.990 0.436 0.812 Nd
0.027 0.973 0.250 Y
0.973 0.027 0.750 Y
0.201 0.302 0.045 Ho
0.302 0.201 0.545 Ho
0.698 0.799 0.455 Ho
0.799 0.698 0.955 Ho
0.412 0.588 0.750 Er
0.588 0.412 0.250 Er
```

Calculated total energy = -4.76 eV per atom
DOS(E_F) = 28.4 states/eV/cell


Entry 12:
## Nd3YHo6Er2 (PBE)

Data for crystalline Nd3YHo6Er2 at its relaxed geometry.

POSCAR file:
```
Nd3YHo6Er2
1.0
3.092 -5.352 0.000
3.092 5.352 0.000
-2.055 0.000 11.612
Nd Y Ho Er
3 1 6 2
direct
0.000 0.000 0.000 Nd
0.333 0.667 0.000 Nd
0.667 0.333 0.000 Nd
0.500 0.500 0.500 Y
0.083 0.418 0.254 Ho
0.248 0.248 0.746 Ho
0.418 0.083 0.254 Ho
0.582 0.917 0.746 Ho
0.752 0.752 0.254 Ho
0.917 0.582 0.746 Ho
0.167 0.833 0.500 Er
0.833 0.167 0.500 Er
```

Calculated total energy = -4.76 eV per atom
DOS(E_F) = 16.3 states/eV/cell


Question: Look up the calculated total energy of the fourth one.
Answer: -5.13 eV per atom


Question: The lowest calculated total energy belongs to which entry?
Answer: NdY6HoEr2


What did the eleventh record say?
## Nd6YHo2Er (PBE)

Data for crystalline Nd6YHo2Er at its relaxed geometry.

POSCAR file:
```
Nd6YHo2Er
1.0
4.621 -7.695 0.000
4.621 7.695 0.000
-1.215 0.000 9.566
Nd Y Ho Er
12 2 4 2
direct
0.010 0.564 0.188 Nd
0.120 0.762 0.553 Nd
0.238 0.880 0.947 Nd
0.291 0.507 0.382 Nd
0.436 0.990 0.312 Nd
0.493 0.709 0.118 Nd
0.507 0.291 0.882 Nd
0.564 0.010 0.688 Nd
0.709 0.493 0.618 Nd
0.762 0.120 0.053 Nd
0.880 0.238 0.447 Nd
0.990 0.436 0.812 Nd
0.027 0.973 0.250 Y
0.973 0.027 0.750 Y
0.201 0.302 0.045 Ho
0.302 0.201 0.545 Ho
0.698 0.799 0.455 Ho
0.799 0.698 0.955 Ho
0.412 0.588 0.750 Er
0.588 0.412 0.250 Er
```

Calculated total energy = -4.76 eV per atom
DOS(E_F) = 28.4 states/eV/cell


Question: Among the records above, which one has the highest calculated total energy?
Answer: NdYHoEr2